PBE with a Hubbard U CaW4O8, relaxed; total magnetic moment = 6.0 μB per formula unit; calculated total energy = -7.2769 eV per atom; symmetry = No. 1
1.0
3.377 0.000 0.000
1.475 7.114 0.000
1.672 -0.047 7.134
Ca W O
1 4 8
Cartesian
0.000 0.000 0.000
2.165 5.870 3.779
2.242 1.237 3.369
3.905 3.336 5.890
3.850 3.767 1.221
2.175 4.339 5.116
2.269 2.237 6.714
2.166 4.893 0.264
2.168 2.747 1.952
3.920 6.721 4.897
3.795 5.115 2.834
3.934 2.054 4.372
3.932 0.262 2.295